First-principles (meta-GGA SCAN) data for CsHf3Ag at its PBEsol-relaxed geometry, as listed in Alexandria via LeMat-Bulk.

Lattice parameters (Å, degrees): 5.217 5.217 5.217 90.00 90.00 90.00
Atoms (fractional coordinates):
Hf  0.000  0.000  0.500
Hf  0.000  0.500  0.000
Hf  0.500  0.000  0.000
Cs  0.500  0.500  0.500
Ag  0.000  0.000  0.000

Values from the calculation:
calculated formation energy = 129 kJ/mol of atoms

***

First-principles (meta-GGA SCAN) data for CsLaHfAg2 at its PBEsol-relaxed geometry, as listed in Alexandria via LeMat-Bulk.

Lattice parameters (Å, degrees): 5.478 5.441 5.441 90.00 90.00 90.00
Atoms (fractional coordinates):
Hf  0.000  0.000  0.000
Ag  0.000  0.500  0.000
Ag  0.000  0.000  0.500
La  0.500  0.000  0.000
Cs  0.500  0.500  0.500

Values from the calculation:
calculated formation energy = 59 kJ/mol of atoms

***

First-principles (meta-GGA SCAN) data for Cs2HfZrAg at its PBEsol-relaxed geometry, as listed in Alexandria via LeMat-Bulk.

Lattice parameters (Å, degrees): 5.029 6.405 6.405 90.00 90.00 90.00
Atoms (fractional coordinates):
Ag  0.500  0.500  0.500
Cs  0.000  0.500  0.000
Cs  0.000  0.000  0.500
Hf  0.500  0.000  0.000
Zr  0.000  0.000  0.000

Values from the calculation:
calculated formation energy = 138 kJ/mol of atoms

***

First-principles (meta-GGA SCAN) data for CsAgHg3 at its PBEsol-relaxed geometry, as listed in Alexandria via LeMat-Bulk.

Lattice parameters (Å, degrees): 5.411 5.411 5.411 90.00 90.00 90.00
Atoms (fractional coordinates):
Hg  0.500  0.000  0.000
Hg  0.000  0.500  0.000
Hg  0.000  0.000  0.500
Ag  0.000  0.000  0.000
Cs  0.500  0.500  0.500

Values from the calculation:
calculated formation energy = -16 kJ/mol of atoms

***

First-principles (meta-GGA SCAN) data for Cs2AgHg at its PBEsol-relaxed geometry, as listed in Alexandria via LeMat-Bulk.

Lattice parameters (Å, degrees): 6.132 6.132 6.132 60.00 60.00 60.00
Atoms (fractional coordinates):
Hg  0.500  0.500  0.500
Cs  0.750  0.750  0.750
Cs  0.250  0.250  0.250
Ag  0.000  0.000  0.000

Values from the calculation:
calculated formation energy = -6 kJ/mol of atoms

***

First-principles (meta-GGA SCAN) data for CsAgHg2Sb at its PBEsol-relaxed geometry, as listed in Alexandria via LeMat-Bulk.

Lattice parameters (Å, degrees): 5.402 5.456 5.456 90.00 90.00 90.00
Atoms (fractional coordinates):
Ag  0.000  0.000  0.000
Cs  0.500  0.500  0.500
Hg  0.000  0.500  0.000
Hg  0.000  0.000  0.500
Sb  0.500  0.000  0.000

Values from the calculation:
ΔE_f (raw) = -0.3 eV per formula unit

***

First-principles (meta-GGA SCAN) data for CsAg2I3 at its PBEsol-relaxed geometry, as listed in Alexandria via LeMat-Bulk.

Lattice parameters (Å, degrees): 5.868 11.288 13.786 90.00 90.00 90.00
Atoms (fractional coordinates):
Ag  0.000  0.328  0.499
Ag  0.000  0.828  0.001
Ag  0.000  0.172  0.999
Ag  0.500  0.172  0.999
Ag  0.500  0.328  0.499
Ag  0.000  0.672  0.501
Ag  0.500  0.828  0.001
Ag  0.500  0.672  0.501
I  0.750  0.998  0.885
I  0.250  0.213  0.356
I  0.250  0.002  0.115
I  0.750  0.787  0.644
I  0.250  0.700  0.867
I  0.750  0.300  0.133
I  0.750  0.502  0.385
I  0.250  0.800  0.367
I  0.250  0.498  0.615
I  0.250  0.287  0.856
I  0.750  0.713  0.144
I  0.750  0.200  0.633
Cs  0.250  0.507  0.198
Cs  0.750  0.493  0.802
Cs  0.250  0.993  0.698
Cs  0.750  0.007  0.302

Values from the calculation:
ΔE_f (raw) = -4.5 eV per formula unit

***

First-principles (meta-GGA SCAN) data for Cs2AgI3 at its PBEsol-relaxed geometry, as listed in Alexandria via LeMat-Bulk.

Lattice parameters (Å, degrees): 4.877 14.464 15.066 90.00 90.00 90.00
Atoms (fractional coordinates):
I  0.250  0.725  0.785
I  0.250  0.058  0.364
I  0.750  0.134  0.951
I  0.750  0.942  0.636
I  0.250  0.366  0.451
I  0.250  0.558  0.136
I  0.750  0.634  0.549
I  0.250  0.225  0.715
I  0.750  0.442  0.864
I  0.750  0.775  0.285
I  0.750  0.275  0.215
I  0.250  0.866  0.049
Cs  0.250  0.987  0.823
Cs  0.750  0.677  0.981
Cs  0.250  0.823  0.481
Cs  0.250  0.323  0.019
Cs  0.750  0.177  0.519
Cs  0.750  0.013  0.177
Cs  0.250  0.487  0.677
Cs  0.750  0.513  0.323
Ag  0.250  0.743  0.192
Ag  0.250  0.243  0.308
Ag  0.750  0.757  0.692
Ag  0.750  0.257  0.808

Values from the calculation:
ΔE_f (raw) = -7.5 eV per formula unit

***

First-principles (meta-GGA SCAN) data for Cs2NdAgI6 at its PBEsol-relaxed geometry, as listed in Alexandria via LeMat-Bulk.

Lattice parameters (Å, degrees): 8.727 8.727 8.727 60.00 60.00 60.00
Atoms (fractional coordinates):
Cs  0.250  0.250  0.250
Cs  0.750  0.750  0.750
I  0.248  0.752  0.248
I  0.752  0.248  0.248
I  0.248  0.752  0.752
I  0.752  0.752  0.248
I  0.752  0.248  0.752
I  0.248  0.248  0.752
Nd  0.500  0.500  0.500
Ag  0.000  0.000  0.000

Values from the calculation:
ΔE_f (raw) = -13.8 eV per formula unit

***

First-principles (meta-GGA SCAN) data for Cs2PrAgI6 at its PBEsol-relaxed geometry, as listed in Alexandria via LeMat-Bulk.

Lattice parameters (Å, degrees): 8.756 8.756 8.756 60.00 60.00 60.00
Atoms (fractional coordinates):
I  0.753  0.247  0.247
I  0.753  0.753  0.247
I  0.247  0.247  0.753
I  0.753  0.247  0.753
I  0.247  0.753  0.247
I  0.247  0.753  0.753
Cs  0.750  0.750  0.750
Cs  0.250  0.250  0.250
Pr  0.500  0.500  0.500
Ag  0.000  0.000  0.000

Values from the calculation:
ΔE_f (raw) = -13.8 eV per formula unit

***

First-principles (meta-GGA SCAN) data for CsIn3Ag at its PBEsol-relaxed geometry, as listed in Alexandria via LeMat-Bulk.

Lattice parameters (Å, degrees): 5.447 5.447 5.447 90.00 90.00 90.00
Atoms (fractional coordinates):
Cs  0.500  0.500  0.500
In  0.000  0.500  0.000
In  0.500  0.000  0.000
In  0.000  0.000  0.500
Ag  0.000  0.000  0.000

Values from the calculation:
calculated formation energy = 11 kJ/mol of atoms

***

First-principles (meta-GGA SCAN) data for Cs2InAgO at its PBEsol-relaxed geometry, as listed in Alexandria via LeMat-Bulk.

Lattice parameters (Å, degrees): 3.915 6.835 6.835 90.00 90.00 90.00
Each line ends with the local moment (μB).
Atoms (fractional coordinates):
Cs  0.000  0.000  0.500  0.01
Cs  0.000  0.500  0.000  0.01
In  0.500  0.500  0.500  0.11
O  0.500  0.000  0.000  0.01
Ag  0.000  0.000  0.000  0.00

Values from the calculation:
ΔE_f (raw) = -1.0 eV per formula unit

***

| no. | total energy (eV per atom) |
| --- | --- |
| 1 | -50.105 |
| 2 | -40.656 |
| 3 | -38.642 |
| 4 | -54.905 |
| 5 | -43.855 |
| 6 | -48.610 |
| 7 | -35.880 |
| 8 | -37.450 |
| 9 | -38.479 |
| 10 | -38.454 |
| 11 | -33.751 |
| 12 | -29.519 |